No. 1
# CaTbP2, relaxed, DFT PBE-GGA
# - E_form (eV/atom) = -1.108
# - energy above the most stable polymorph in this dataset (meV/atom) = 74
data_CaTbP2
_cell_length_a 4.0314
_cell_length_b 4.0314
_cell_length_c 20.8880
_cell_angle_alpha 90.00
_cell_angle_beta 90.00
_cell_angle_gamma 120.00
_space_group_name_H-M_alt 'R 3 m'
_space_group_IT_number 160
_space_group_name_Hall 'R 3 -2"'
loop_
_atom_site_label
_atom_site_type_symbol
_atom_site_fract_x
_atom_site_fract_y
_atom_site_fract_z
_atom_site_occupancy
Ca1 Ca 0.0000 0.0000 0.0000 1
Tb1 Tb 0.0000 0.0000 0.1730 1
P1 P 0.0000 0.0000 0.5818 1
P2 P 0.0000 0.0000 0.7593 1

No. 2
# CaTbP, relaxed, DFT PBE-GGA
# - E_form (eV/atom) = -0.593
data_CaTbP
_cell_length_a 3.9827
_cell_length_b 3.9827
_cell_length_c 36.0490
_cell_angle_alpha 90.00
_cell_angle_beta 90.00
_cell_angle_gamma 120.00
_space_group_name_H-M_alt 'P -3 m 1'
_space_group_IT_number 164
_space_group_name_Hall '-P 3 2"'
loop_
_atom_site_label
_atom_site_type_symbol
_atom_site_fract_x
_atom_site_fract_y
_atom_site_fract_z
_atom_site_occupancy
Ca1 Ca 0.3333 0.6667 0.3565 1
Ca2 Ca 0.3333 0.6667 0.4456 1
Tb1 Tb 0.3333 0.6667 0.7372 1
Tb2 Tb 0.3333 0.6667 0.8293 1
P1 P 0.3333 0.6667 0.2153 1
P2 P 0.3333 0.6667 0.5981 1

No. 3
# CaTb5P6, relaxed, DFT PBE-GGA
# - E_form (eV/atom) = -1.479
data_CaTb5P6
_cell_length_a 6.998
_cell_length_b 12.130
_cell_length_c 7.013
_cell_angle_alpha 90.00
_cell_angle_beta 109.45
_cell_angle_gamma 90.00
_space_group_name_H-M_alt 'C 1 2/m 1'
_space_group_IT_number 12
_space_group_name_Hall '-C 2y'
loop_
_atom_site_label
_atom_site_type_symbol
_atom_site_fract_x
_atom_site_fract_y
_atom_site_fract_z
_atom_site_occupancy
Ca1 Ca 0.000 0.000 0.000 1
Tb1 Tb 0.000 0.165 0.500 1
Tb2 Tb 0.000 0.333 0.000 1
Tb3 Tb 0.000 0.500 0.500 1
P1 P 0.245 0.500 0.253 1
P2 P 0.246 0.330 0.747 1

No. 4
# Ca2TbP, relaxed, DFT PBE-GGA
# - E_form (eV/atom) = -0.312
data_Ca2TbP
_cell_length_a 3.9430
_cell_length_b 3.9430
_cell_length_c 31.8199
_cell_angle_alpha 90.00
_cell_angle_beta 90.00
_cell_angle_gamma 120.00
_space_group_name_H-M_alt 'R -3 m'
_space_group_IT_number 166
_space_group_name_Hall '-R 3 2"'
loop_
_atom_site_label
_atom_site_type_symbol
_atom_site_fract_x
_atom_site_fract_y
_atom_site_fract_z
_atom_site_occupancy
Ca1 Ca 0.0000 0.0000 0.1183 1
Tb1 Tb 0.0000 0.0000 0.0000 1
P1 P 0.0000 0.0000 0.5000 1

No. 5
# CaTbTh2P4, relaxed, DFT PBE-GGA
# - E_form (eV/atom) = -1.498
data_CaTbTh2P4
_cell_length_a 7.076
_cell_length_b 4.135
_cell_length_c 7.168
_cell_angle_alpha 90.00
_cell_angle_beta 109.66
_cell_angle_gamma 90.00
_space_group_name_H-M_alt 'P 1 2/m 1'
_space_group_IT_number 10
_space_group_name_Hall '-P 2y'
loop_
_atom_site_label
_atom_site_type_symbol
_atom_site_fract_x
_atom_site_fract_y
_atom_site_fract_z
_atom_site_occupancy
Ca1 Ca 0.000 0.000 0.000 1
Tb1 Tb 0.000 0.500 0.500 1
Th1 Th 0.500 0.000 0.500 1
Th2 Th 0.500 0.500 0.000 1
P1 P 0.248 0.000 0.747 1
P2 P 0.253 0.500 0.254 1

No. 6
# Ca3TbTh2P6, relaxed, DFT PBE-GGA
# - E_form (eV/atom) = -1.326
data_Ca3TbTh2P6
_cell_length_a 7.205
_cell_length_b 12.482
_cell_length_c 7.130
_cell_angle_alpha 90.00
_cell_angle_beta 109.69
_cell_angle_gamma 90.00
_space_group_name_H-M_alt 'C 1 2/m 1'
_space_group_IT_number 12
_space_group_name_Hall '-C 2y'
loop_
_atom_site_label
_atom_site_type_symbol
_atom_site_fract_x
_atom_site_fract_y
_atom_site_fract_z
_atom_site_occupancy
Ca1 Ca 0.000 0.000 0.000 1
Ca2 Ca 0.000 0.334 0.000 1
Tb1 Tb 0.000 0.500 0.500 1
Th1 Th 0.000 0.167 0.500 1
P1 P 0.246 0.334 0.739 1
P2 P 0.248 0.000 0.739 1

No. 7
# Ca2TbThP4, relaxed, DFT PBE-GGA
# - E_form (eV/atom) = -1.289
data_Ca2TbThP4
_cell_length_a 7.126
_cell_length_b 4.151
_cell_length_c 7.151
_cell_angle_alpha 90.00
_cell_angle_beta 109.68
_cell_angle_gamma 90.00
_space_group_name_H-M_alt 'P 1 2/m 1'
_space_group_IT_number 10
_space_group_name_Hall '-P 2y'
loop_
_atom_site_label
_atom_site_type_symbol
_atom_site_fract_x
_atom_site_fract_y
_atom_site_fract_z
_atom_site_occupancy
Ca1 Ca 0.000 0.000 0.000 1
Ca2 Ca 0.000 0.500 0.500 1
Tb1 Tb 0.500 0.000 0.500 1
Th1 Th 0.500 0.500 0.000 1
P1 P 0.261 0.000 0.751 1
P2 P 0.262 0.500 0.256 1

No. 8
# Ca2TbUP4, relaxed, DFT PBE-GGA
# - E_form (eV/atom) = -1.214
data_Ca2TbUP4
_cell_length_a 7.001
_cell_length_b 4.070
_cell_length_c 7.040
_cell_angle_alpha 90.00
_cell_angle_beta 109.20
_cell_angle_gamma 90.00
_space_group_name_H-M_alt 'P 1 2/m 1'
_space_group_IT_number 10
_space_group_name_Hall '-P 2y'
loop_
_atom_site_label
_atom_site_type_symbol
_atom_site_fract_x
_atom_site_fract_y
_atom_site_fract_z
_atom_site_occupancy
Ca1 Ca 0.000 0.000 0.000 1
Ca2 Ca 0.500 0.500 0.000 1
Tb1 Tb 0.000 0.500 0.500 1
U1 U 0.500 0.000 0.500 1
P1 P 0.257 0.000 0.730 1
P2 P 0.267 0.500 0.273 1

No. 9
# Ca3TbU2P6, relaxed, DFT PBE-GGA
# - E_form (eV/atom) = -1.171
data_Ca3TbU2P6
_cell_length_a 7.014
_cell_length_b 12.143
_cell_length_c 7.038
_cell_angle_alpha 90.00
_cell_angle_beta 109.40
_cell_angle_gamma 90.00
_space_group_name_H-M_alt 'C 1 2/m 1'
_space_group_IT_number 12
_space_group_name_Hall '-C 2y'
loop_
_atom_site_label
_atom_site_type_symbol
_atom_site_fract_x
_atom_site_fract_y
_atom_site_fract_z
_atom_site_occupancy
Ca1 Ca 0.000 0.000 0.000 1
Ca2 Ca 0.000 0.336 0.000 1
Tb1 Tb 0.000 0.500 0.500 1
U1 U 0.000 0.167 0.500 1
P1 P 0.233 0.000 0.728 1
P2 P 0.248 0.328 0.728 1

No. 10
# CaTb2ZrP4, relaxed, DFT PBE-GGA
# - E_form (eV/atom) = -1.396
data_CaTb2ZrP4
_cell_length_a 6.824
_cell_length_b 3.959
_cell_length_c 6.907
_cell_angle_alpha 90.00
_cell_angle_beta 109.10
_cell_angle_gamma 90.00
_space_group_name_H-M_alt 'P 1 2/m 1'
_space_group_IT_number 10
_space_group_name_Hall '-P 2y'
loop_
_atom_site_label
_atom_site_type_symbol
_atom_site_fract_x
_atom_site_fract_y
_atom_site_fract_z
_atom_site_occupancy
Ca1 Ca 0.000 0.000 0.000 1
Tb1 Tb 0.500 0.000 0.500 1
Tb2 Tb 0.500 0.500 0.000 1
Zr1 Zr 0.000 0.500 0.500 1
P1 P 0.239 0.000 0.737 1
P2 P 0.246 0.500 0.262 1

No. 11
# CaTc4P2, relaxed, DFT PBE-GGA
# - E_form (eV/atom) = -0.579
data_CaTc4P2
_cell_length_a 4.072
_cell_length_b 13.676
_cell_length_c 4.022
_cell_angle_alpha 90.00
_cell_angle_beta 90.00
_cell_angle_gamma 90.00
_space_group_name_H-M_alt 'C m m m'
_space_group_IT_number 65
_space_group_name_Hall '-C 2 2'
loop_
_atom_site_label
_atom_site_type_symbol
_atom_site_fract_x
_atom_site_fract_y
_atom_site_fract_z
_atom_site_occupancy
Ca1 Ca 0.000 0.000 0.000 1
Tc1 Tc 0.000 0.184 0.500 1
Tc2 Tc 0.000 0.306 0.000 1
P1 P 0.000 0.413 0.500 1

No. 12
# Ca2TcP, relaxed, DFT PBE-GGA
# - E_form (eV/atom) = 0.156
data_Ca2TcP
_cell_length_a 4.282
_cell_length_b 4.282
_cell_length_c 8.579
_cell_angle_alpha 90.00
_cell_angle_beta 90.00
_cell_angle_gamma 90.00
_space_group_name_H-M_alt 'I 4/m m m'
_space_group_IT_number 139
_space_group_name_Hall '-I 4 2'
loop_
_atom_site_label
_atom_site_type_symbol
_atom_site_fract_x
_atom_site_fract_y
_atom_site_fract_z
_atom_site_occupancy
Ca1 Ca 0.000 0.500 0.250 1
Tc1 Tc 0.000 0.000 0.000 1
P1 P 0.000 0.000 0.500 1